(1)
Below is crystalline La2TmSn2 at its relaxed geometry, with properties calculated at the PBE-GGA level.

Values from the calculation:
For the formation energy, the calculation gives -654 meV/atom. The density of states at the Fermi level comes out at 0.7404 states/eV/atom. As for the crystal system: orthorhombic.

a = 5.172 Å, b = 6.657 Å, c = 9.663 Å
α = 90.00°, β = 105.52°, γ = 90.00°
Fractional positions:
Sn 0.424 0.477 0.848
Sn 0.576 0.977 0.152
Sn 0.181 0.477 0.363
Sn 0.819 0.977 0.637
La 0.196 0.977 0.393
La 0.804 0.477 0.607
La 0.000 0.727 0.000
La 0.000 0.227 0.000
Tm 0.601 0.477 0.202
Tm 0.399 0.977 0.798

=====

(2)
Below is crystalline LaTm2Sn at its relaxed geometry, with properties calculated at the PBE-GGA level.

Values from the calculation:
For the formation energy, the calculation gives -399 meV/atom. The density of states at the Fermi level comes out at 1.4810 states/eV/atom. As for the crystal system: tetragonal.

a = 4.780 Å, b = 4.896 Å, c = 4.896 Å
α = 90.00°, β = 90.00°, γ = 90.00°
Fractional positions:
La 0.500 0.500 0.500
Sn 0.500 0.000 0.000
Tm 0.000 0.000 0.500
Tm 0.000 0.500 0.000

=====

(3)
Below is crystalline La5TmSn5 at its relaxed geometry, with properties calculated at the PBE-GGA level.

Values from the calculation:
For the formation energy, the calculation gives -533 meV/atom. The density of states at the Fermi level comes out at 0.8515 states/eV/atom. As for the crystal system: monoclinic.

a = 6.128 Å, b = 9.176 Å, c = 7.271 Å
α = 105.84°, β = 90.00°, γ = 109.51°
Fractional positions:
La 0.659 0.317 0.764
La 0.000 0.000 0.500
La 0.317 0.634 0.733
La 0.683 0.366 0.267
La 0.341 0.683 0.236
Sn 0.500 0.000 0.000
Sn 0.162 0.325 0.921
Sn 0.160 0.319 0.372
Sn 0.840 0.681 0.628
Sn 0.838 0.675 0.079
Tm 0.000 0.000 0.000

=====

(4)
Below is crystalline LaTm5Sn3 at its relaxed geometry, with properties calculated at the PBE-GGA level.

Values from the calculation:
For the formation energy, the calculation gives -232 meV/atom. The density of states at the Fermi level comes out at 1.1787 states/eV/atom. As for the crystal system: tetragonal.

a = 7.418 Å, b = 7.418 Å, c = 11.011 Å
α = 109.69°, β = 109.69°, γ = 90.00°
Fractional positions:
La 0.750 0.250 0.500
La 0.250 0.750 0.500
Sn 0.129 0.371 0.000
Sn 0.871 0.629 0.000
Sn 0.629 0.129 0.000
Sn 0.371 0.871 0.000
Sn 0.750 0.750 0.500
Sn 0.250 0.250 0.500
Tm 0.930 0.430 0.244
Tm 0.686 0.186 0.756
Tm 0.314 0.814 0.244
Tm 0.500 0.500 0.000
Tm 0.000 0.000 0.000
Tm 0.814 0.930 0.244
Tm 0.570 0.686 0.756
Tm 0.430 0.314 0.244
Tm 0.186 0.070 0.756
Tm 0.070 0.570 0.756

=====

(5)
Below is crystalline LaTm5Sn2 at its relaxed geometry, with properties calculated at the PBE-GGA level.

Values from the calculation:
For the formation energy, the calculation gives -315 meV/atom. The density of states at the Fermi level comes out at 1.5249 states/eV/atom. As for the crystal system: orthorhombic.

a = 4.496 Å, b = 7.813 Å, c = 7.813 Å
α = 75.09°, β = 73.28°, γ = 73.28°
Fractional positions:
Tm 0.349 0.840 0.462
Tm 0.651 0.160 0.538
Tm 0.651 0.538 0.160
Tm 0.349 0.462 0.840
Tm 0.000 0.500 0.500
La 0.000 0.000 0.000
Sn 0.276 0.224 0.224
Sn 0.724 0.776 0.776

=====

(6)
Below is crystalline LaTmSn2 at its relaxed geometry, with properties calculated at the PBE-GGA level.

Values from the calculation:
For the formation energy, the calculation gives -636 meV/atom. The density of states at the Fermi level comes out at 1.0577 states/eV/atom. As for the crystal system: tetragonal.

a = 4.521 Å, b = 4.978 Å, c = 4.978 Å
α = 90.00°, β = 90.00°, γ = 90.00°
Fractional positions:
La 0.500 0.000 0.000
Sn 0.000 0.000 0.500
Sn 0.000 0.500 0.000
Tm 0.500 0.500 0.500

=====

(7)
Below is crystalline La3TmSn at its relaxed geometry, with properties calculated at the PBE-GGA level.

Values from the calculation:
For the formation energy, the calculation gives -277 meV/atom. The density of states at the Fermi level comes out at 1.0633 states/eV/atom. As for the crystal system: monoclinic.

a = 5.767 Å, b = 6.879 Å, c = 8.609 Å
α = 90.00°, β = 109.57°, γ = 90.00°
Fractional positions:
La 0.193 0.502 0.385
La 0.584 0.250 0.168
La 0.193 0.998 0.385
La 0.416 0.750 0.832
La 0.807 0.498 0.615
La 0.807 0.002 0.615
Sn 0.376 0.250 0.753
Sn 0.624 0.750 0.247
Tm 0.016 0.750 0.031
Tm 0.984 0.250 0.969

=====

(8)
Below is crystalline La3TmSn12 at its relaxed geometry, with properties calculated at the PBE-GGA level.

Values from the calculation:
For the formation energy, the calculation gives -530 meV/atom. The density of states at the Fermi level comes out at 0.5181 states/eV/atom. As for the crystal system: tetragonal.

a = 4.787 Å, b = 4.787 Å, c = 19.021 Å
α = 90.00°, β = 90.00°, γ = 90.00°
Fractional positions:
Tm 0.000 0.000 0.000
Sn 0.500 0.500 0.500
Sn 0.500 0.500 0.000
Sn 0.000 0.500 0.627
Sn 0.000 0.500 0.373
Sn 0.500 0.000 0.119
Sn 0.500 0.500 0.246
Sn 0.000 0.500 0.119
Sn 0.000 0.500 0.881
Sn 0.500 0.000 0.627
Sn 0.500 0.000 0.881
Sn 0.500 0.500 0.754
Sn 0.500 0.000 0.373
La 0.000 0.000 0.753
La 0.000 0.000 0.247
La 0.000 0.000 0.500